i:
This record from the Alexandria database describes a geometry-optimized CeYSn structure. The functional is PBE-GGA.

```
data_CeYSn
_chemical_formula_sum 'Ce1 Y1 Sn1'
_symmetry_space_group_name_H-M 'P 3 m 1'
_symmetry_Int_Tables_number 156
_symmetry_space_group_name_Hall 'P 3 -2"'
_cell_length_a 5.2478
_cell_length_b 5.2478
_cell_length_c 3.6881
_cell_angle_alpha 90.00
_cell_angle_beta 90.00
_cell_angle_gamma 120.00
loop_
_atom_site_label
_atom_site_fract_x
_atom_site_fract_y
_atom_site_fract_z
_atom_site_occupancy
Ce1 0.0000 0.0000 0.0000 1
Y1 0.3333 0.6667 0.5620 1
Sn1 0.6667 0.3333 0.3431 1
```


ii:
This record from the Alexandria database describes a geometry-optimized CeYSn structure. The functional is PBE-GGA.

```
data_CeYSn
_chemical_formula_sum 'Ce2 Y2 Sn2'
_symmetry_space_group_name_H-M 'I 4 m m'
_symmetry_Int_Tables_number 107
_symmetry_space_group_name_Hall 'I 4 -2'
_cell_length_a 4.114
_cell_length_b 4.114
_cell_length_c 10.003
_cell_angle_alpha 90.00
_cell_angle_beta 90.00
_cell_angle_gamma 90.00
loop_
_atom_site_label
_atom_site_fract_x
_atom_site_fract_y
_atom_site_fract_z
_atom_site_occupancy
Ce1 0.000 0.000 0.000 1
Y1 0.000 0.000 0.306 1
Sn1 0.000 0.000 0.658 1
```


Which of them is the least stable? Correct choice: i.


i:
This record from the Alexandria database describes a geometry-optimized CeY2Sn structure. The functional is PBE-GGA.

```
data_CeY2Sn
_chemical_formula_sum 'Ce1 Y2 Sn1'
_symmetry_space_group_name_H-M 'P 4/m m m'
_symmetry_Int_Tables_number 123
_symmetry_space_group_name_Hall '-P 4 2'
_cell_length_a 4.900
_cell_length_b 4.900
_cell_length_c 4.650
_cell_angle_alpha 90.00
_cell_angle_beta 90.00
_cell_angle_gamma 90.00
loop_
_atom_site_label
_atom_site_fract_x
_atom_site_fract_y
_atom_site_fract_z
_atom_site_occupancy
Ce1 0.000 0.000 0.000 1
Y1 0.000 0.500 0.500 1
Sn1 0.500 0.500 0.000 1
```


ii:
This record from the Alexandria database describes a geometry-optimized CeY2Sn structure. The functional is PBE-GGA.

```
data_CeY2Sn
_chemical_formula_sum 'Ce1 Y2 Sn1'
_symmetry_space_group_name_H-M 'P 4/m m m'
_symmetry_Int_Tables_number 123
_symmetry_space_group_name_Hall '-P 4 2'
_cell_length_a 3.993
_cell_length_b 3.993
_cell_length_c 7.209
_cell_angle_alpha 90.00
_cell_angle_beta 90.00
_cell_angle_gamma 90.00
loop_
_atom_site_label
_atom_site_fract_x
_atom_site_fract_y
_atom_site_fract_z
_atom_site_occupancy
Ce1 0.000 0.000 0.000 1
Y1 0.500 0.500 0.276 1
Sn1 0.000 0.000 0.500 1
```


Which of them is the least stable? Correct choice: ii.


i:
This record from the Alexandria database describes a geometry-optimized SrTb2Ce structure. The functional is PBE-GGA.

```
data_SrTb2Ce
_chemical_formula_sum 'Sr3 Tb6 Ce3'
_symmetry_space_group_name_H-M 'R -3 m'
_symmetry_Int_Tables_number 166
_symmetry_space_group_name_Hall '-R 3 2"'
_cell_length_a 3.5832
_cell_length_b 3.5832
_cell_length_c 37.8009
_cell_angle_alpha 90.00
_cell_angle_beta 90.00
_cell_angle_gamma 120.00
loop_
_atom_site_label
_atom_site_fract_x
_atom_site_fract_y
_atom_site_fract_z
_atom_site_occupancy
Sr1 0.0000 0.0000 0.0000 1
Tb1 0.0000 0.0000 0.0936 1
Ce1 0.0000 0.0000 0.5000 1
```


ii:
This record from the Alexandria database describes a geometry-optimized SrTb2Ce structure. The functional is PBE-GGA.

```
data_SrTb2Ce
_chemical_formula_sum 'Sr1 Tb2 Ce1'
_symmetry_space_group_name_H-M 'P 4/m m m'
_symmetry_Int_Tables_number 123
_symmetry_space_group_name_Hall '-P 4 2'
_cell_length_a 3.665
_cell_length_b 3.665
_cell_length_c 10.465
_cell_angle_alpha 90.00
_cell_angle_beta 90.00
_cell_angle_gamma 90.00
loop_
_atom_site_label
_atom_site_fract_x
_atom_site_fract_y
_atom_site_fract_z
_atom_site_occupancy
Sr1 0.000 0.000 0.000 1
Tb1 0.500 0.500 0.287 1
Ce1 0.000 0.000 0.500 1
```


Which of them is the least stable? Correct choice: i.


i:
This record from the Alexandria database describes a geometry-optimized SrCe2Tc structure. The functional is PBE-GGA.

```
data_SrCe2Tc
_chemical_formula_sum 'Sr3 Ce6 Tc3'
_symmetry_space_group_name_H-M 'R -3 m'
_symmetry_Int_Tables_number 166
_symmetry_space_group_name_Hall '-R 3 2"'
_cell_length_a 3.9521
_cell_length_b 3.9521
_cell_length_c 31.5343
_cell_angle_alpha 90.00
_cell_angle_beta 90.00
_cell_angle_gamma 120.00
loop_
_atom_site_label
_atom_site_fract_x
_atom_site_fract_y
_atom_site_fract_z
_atom_site_occupancy
Sr1 0.0000 0.0000 0.0000 1
Ce1 0.0000 0.0000 0.1186 1
Tc1 0.0000 0.0000 0.5000 1
```


ii:
This record from the Alexandria database describes a geometry-optimized SrCe2Tc structure. The functional is PBE-GGA.

```
data_SrCe2Tc
_chemical_formula_sum 'Sr1 Ce2 Tc1'
_symmetry_space_group_name_H-M 'P 4/m m m'
_symmetry_Int_Tables_number 123
_symmetry_space_group_name_Hall '-P 4 2'
_cell_length_a 3.489
_cell_length_b 3.489
_cell_length_c 10.049
_cell_angle_alpha 90.00
_cell_angle_beta 90.00
_cell_angle_gamma 90.00
loop_
_atom_site_label
_atom_site_fract_x
_atom_site_fract_y
_atom_site_fract_z
_atom_site_occupancy
Sr1 0.000 0.000 0.000 1
Ce1 0.500 0.500 0.336 1
Tc1 0.000 0.000 0.500 1
```


Which of them is the least stable? Correct choice: i.


i:
This record from the Alexandria database describes a geometry-optimized Sr3CeTe4 structure. The functional is PBE-GGA.

```
data_Sr3CeTe4
_chemical_formula_sum 'Sr6 Ce2 Te8'
_symmetry_space_group_name_H-M 'C m m m'
_symmetry_Int_Tables_number 65
_symmetry_space_group_name_Hall '-C 2 2'
_cell_length_a 9.410
_cell_length_b 13.270
_cell_length_c 4.665
_cell_angle_alpha 90.00
_cell_angle_beta 90.00
_cell_angle_gamma 90.00
loop_
_atom_site_label
_atom_site_fract_x
_atom_site_fract_y
_atom_site_fract_z
_atom_site_occupancy
Sr1 0.000 0.000 0.000 1
Sr2 0.250 0.250 0.500 1
Ce1 0.000 0.500 0.000 1
Te1 0.000 0.254 0.000 1
Te2 0.244 0.500 0.500 1
```


ii:
This record from the Alexandria database describes a geometry-optimized Sr3CeTe4 structure. The functional is PBE-GGA.

```
data_Sr3CeTe4
_chemical_formula_sum 'Sr6 Ce2 Te8'
_symmetry_space_group_name_H-M 'P 63/m m c'
_symmetry_Int_Tables_number 194
_symmetry_space_group_name_Hall '-P 6c 2c'
_cell_length_a 4.6194
_cell_length_b 4.6194
_cell_length_c 31.5987
_cell_angle_alpha 90.00
_cell_angle_beta 90.00
_cell_angle_gamma 120.00
loop_
_atom_site_label
_atom_site_fract_x
_atom_site_fract_y
_atom_site_fract_z
_atom_site_occupancy
Sr1 0.0000 0.0000 0.0000 1
Sr2 0.3333 0.6667 0.1252 1
Ce1 0.3333 0.6667 0.7500 1
Te1 0.0000 0.0000 0.1884 1
Te2 0.3333 0.6667 0.5628 1
```


Which of them is the least stable? Correct choice: ii.


i:
This record from the Alexandria database describes a geometry-optimized SrCeTm2 structure. The functional is PBE-GGA.

```
data_SrCeTm2
_chemical_formula_sum 'Sr1 Ce1 Tm2'
_symmetry_space_group_name_H-M 'P 4/m m m'
_symmetry_Int_Tables_number 123
_symmetry_space_group_name_Hall '-P 4 2'
_cell_length_a 3.644
_cell_length_b 3.644
_cell_length_c 10.285
_cell_angle_alpha 90.00
_cell_angle_beta 90.00
_cell_angle_gamma 90.00
loop_
_atom_site_label
_atom_site_fract_x
_atom_site_fract_y
_atom_site_fract_z
_atom_site_occupancy
Sr1 0.000 0.000 0.000 1
Ce1 0.000 0.000 0.500 1
Tm1 0.500 0.500 0.287 1
```


ii:
This record from the Alexandria database describes a geometry-optimized SrCeTm2 structure. The functional is PBE-GGA.

```
data_SrCeTm2
_chemical_formula_sum 'Sr3 Ce3 Tm6'
_symmetry_space_group_name_H-M 'R -3 m'
_symmetry_Int_Tables_number 166
_symmetry_space_group_name_Hall '-R 3 2"'
_cell_length_a 3.5426
_cell_length_b 3.5426
_cell_length_c 37.4567
_cell_angle_alpha 90.00
_cell_angle_beta 90.00
_cell_angle_gamma 120.00
loop_
_atom_site_label
_atom_site_fract_x
_atom_site_fract_y
_atom_site_fract_z
_atom_site_occupancy
Sr1 0.0000 0.0000 0.0000 1
Ce1 0.0000 0.0000 0.5000 1
Tm1 0.0000 0.0000 0.0939 1
```


Which of them is the least stable? Correct choice: ii.